(1)
Density functional theory data (PBE) for Pr2RhSe after structural relaxation.

a = 4.1132 Å, b = 4.1132 Å, c = 7.8505 Å
α = 74.81°, β = 74.81°, γ = 60.00°
Atoms (fractional coordinates):
Rh 0.6665 0.6665 0.0005
Pr 0.2587 0.2587 0.2240
Pr 0.0749 0.0749 0.7752
Se 0.4999 0.4999 0.5004

Its uncorrected formation energy is -1.138 eV/atom. The calculation puts the magnetic moment at 0.00 μB/f.u. The space-group type is R3m. The value obtained for the polymorph energy (0 for the lowest one) is 0.079 eV/atom. Its density of states at the Fermi level is 0.655 states/eV/atom.

=====

(2)
Density functional theory data (PBE) for Pr4RhSe3 after structural relaxation.

a = 4.1891 Å, b = 7.4568 Å, c = 7.4568 Å
α = 108.93°, β = 90.00°, γ = 90.00°
Atoms (fractional coordinates):
Pr 0.5000 0.2451 0.7549
Pr 0.5000 0.7549 0.2451
Pr 0.0000 0.7684 0.7684
Pr 0.0000 0.2316 0.2316
Se 0.5000 0.5000 0.5000
Se 0.0000 0.5000 0.0000
Se 0.0000 0.0000 0.5000
Rh 0.5000 0.0000 0.0000

Its uncorrected formation energy is -1.521 eV/atom. The calculation puts the magnetic moment at 0.00 μB/f.u. The space-group type is Cmmm. Its density of states at the Fermi level is 0.812 states/eV/atom.

=====

(3)
Density functional theory data (PBE) for Pr2RhSe after structural relaxation.

a = 4.3475 Å, b = 4.0784 Å, c = 11.8715 Å
α = 99.89°, β = 90.00°, γ = 90.00°
Atoms (fractional coordinates):
Se 0.2500 0.1918 0.3836
Se 0.7500 0.8082 0.6164
Rh 0.7500 0.5446 0.0892
Rh 0.2500 0.4554 0.9108
Pr 0.7500 0.9387 0.8774
Pr 0.2500 0.3254 0.6508
Pr 0.7500 0.6746 0.3492
Pr 0.2500 0.0613 0.1226

Its uncorrected formation energy is -1.217 eV/atom. The calculation puts the magnetic moment at 0.00 μB/f.u. The space-group type is Cmcm. The value obtained for the polymorph energy (0 for the lowest one) is 0.000 eV/atom. Its density of states at the Fermi level is 0.668 states/eV/atom.

=====

(4)
Density functional theory data (PBE) for Pr8Te4RhSe3 after structural relaxation.

a = 8.7552 Å, b = 8.8853 Å, c = 8.7566 Å
α = 119.53°, β = 119.99°, γ = 90.00°
Atoms (fractional coordinates):
Pr 0.2584 0.2760 0.5168
Pr 0.2347 0.7207 0.4694
Pr 0.7416 0.7240 0.4832
Pr 0.7675 0.2812 0.0136
Pr 0.2325 0.7188 0.9864
Pr 0.7539 0.7188 0.9864
Pr 0.2461 0.2812 0.0136
Pr 0.7653 0.2793 0.5306
Se 0.0000 0.5000 0.5000
Se 0.5000 0.5000 0.0000
Se 0.5000 0.5000 0.5000
Te 0.0000 0.0000 0.0000
Te 0.5000 0.0000 0.0000
Te 0.0000 0.0000 0.5000
Te 0.5000 0.0000 0.5000
Rh 0.0000 0.5000 0.0000

Its uncorrected formation energy is -1.534 eV/atom. The calculation puts the magnetic moment at 0.00 μB/f.u. The space-group type is C2/m. Its density of states at the Fermi level is 0.628 states/eV/atom.

=====

(5)
Density functional theory data (PBE) for Pr6TeRh2Se3 after structural relaxation.

a = 4.2059 Å, b = 8.8886 Å, c = 9.6849 Å
α = 105.01°, β = 102.54°, γ = 90.00°
Atoms (fractional coordinates):
Rh 0.1698 0.3387 0.3396
Rh 0.8302 0.6613 0.6604
Se 0.5000 0.5000 0.0000
Se 0.1590 0.8401 0.3179
Se 0.8410 0.1599 0.6821
Pr 0.6758 0.1135 0.3517
Pr 0.6733 0.5762 0.3466
Pr 0.3242 0.8865 0.6483
Pr 0.0109 0.2708 0.0218
Pr 0.9891 0.7292 0.9782
Pr 0.3267 0.4238 0.6534
Te 0.5000 0.0000 0.0000

Its uncorrected formation energy is -1.343 eV/atom. The calculation puts the magnetic moment at 0.00 μB/f.u. The space-group type is C2/m. Its density of states at the Fermi level is 0.403 states/eV/atom.

=====

(6)
Density functional theory data (PBE) for PrSiRh4 after structural relaxation.

a = 3.7877 Å, b = 6.9757 Å, c = 7.6563 Å
α = 90.00°, β = 90.00°, γ = 90.00°
Atoms (fractional coordinates):
Pr 0.0000 0.6269 0.7500
Pr 0.0000 0.3731 0.2500
Rh 0.5000 0.7031 0.0624
Rh 0.5000 0.2969 0.9376
Rh 0.5000 0.2969 0.5624
Rh 0.5000 0.0503 0.2500
Rh 0.5000 0.9497 0.7500
Rh 0.0000 0.0000 0.0000
Rh 0.5000 0.7031 0.4376
Rh 0.0000 0.0000 0.5000
Si 0.0000 0.1992 0.7500
Si 0.0000 0.8008 0.2500

Its uncorrected formation energy is -0.553 eV/atom. The calculation puts the magnetic moment at 0.00 μB/f.u. The space-group type is Pmma. Its density of states at the Fermi level is 1.301 states/eV/atom.